Density functional theory data (PBE) for an optimized crystal structure of CaIn9Pt2.

Output
Energy ... -3.44 eV per atom
Total moment ... 0.00 μB per cell
Formation energy ... -209 meV/atom
Space-group type ... I4_1/amd (141)

The structure in extended XYZ format:
```
24
Lattice="-7.127 -1.202 0.925 -2.614 -8.827 -2.910 -1.962 -3.779 8.665" Properties=species:S:1:pos:R:3 pbc="T T T"
Ca -3.563 -0.601 0.463
Ca -4.070 -6.604 3.109
In -7.633 -7.205 3.571
In 0.000 0.000 0.000
In -10.752 -12.113 4.223
In -5.101 -2.395 2.996
In -6.335 -4.671 4.879
In -5.955 -9.236 1.877
In -8.741 -10.116 3.239
In -2.375 -3.593 3.365
In -3.677 -9.543 -0.052
In -3.875 -3.565 6.193
In -8.584 -8.900 6.028
In -2.532 -4.809 0.576
In -3.260 -6.313 7.357
In -4.292 -6.795 -1.215
In -10.595 -10.897 7.012
In -5.258 -3.612 0.207
In -6.570 -6.488 0.713
In -5.720 -7.419 6.043
Pt -8.361 -6.093 6.581
Pt -8.687 -8.617 0.793
Pt -7.380 -4.203 2.248
Pt -6.105 -9.905 4.663
```